Record 1
Here is a relaxed structure of LaPrY2 from Alexandria via LeMat-Bulk. Energies are from PBE.

abc: 5.0603 5.2131 5.2131
angles: 90.00 90.00 90.00
Fractional coordinates of all 4 atoms:
1 Pr 0.5000 0.5000 0.5000
2 Y 0.0000 0.5000 0.0000
3 Y 0.0000 0.0000 0.5000
4 La 0.5000 0.0000 0.0000

Total magnetization in Bohr magnetons per cell: 0.0
DOS at the Fermi energy in states/eV/f.u.: 6.5
Distance to the lowest polymorph of the same formula in meV per atom: 13
Calculated formation energy in eV/atom: 0.02
SG: P4/mmm

Record 2
Here is a relaxed structure of La2Pr5Y6 from Alexandria via LeMat-Bulk. Energies are from PBE.

abc: 3.6476 11.9298 20.8963
angles: 90.00 90.00 90.00
Fractional coordinates of all 26 atoms:
1 La 0.0000 0.6698 0.7199
2 La 0.0000 0.1698 0.7801
3 La 0.0000 0.3302 0.2801
4 La 0.0000 0.8302 0.2199
5 Y 0.5000 0.6823 0.8740
6 Y 0.5000 0.3177 0.1260
7 Y 0.5000 0.8177 0.3740
8 Y 0.0000 0.5748 0.1370
9 Y 0.0000 0.9397 0.9242
10 Y 0.0000 0.9252 0.6370
11 Y 0.0000 0.0748 0.3630
12 Y 0.0000 0.0603 0.0758
13 Y 0.0000 0.4397 0.5758
14 Y 0.0000 0.5603 0.4242
15 Y 0.0000 0.4252 0.8630
16 Y 0.5000 0.1823 0.6260
17 Pr 0.5000 0.0000 0.5000
18 Pr 0.5000 0.5000 0.0000
19 Pr 0.5000 0.2971 0.4480
20 Pr 0.5000 0.0887 0.2188
21 Pr 0.5000 0.7029 0.5520
22 Pr 0.5000 0.4113 0.7188
23 Pr 0.5000 0.2029 0.9480
24 Pr 0.5000 0.5887 0.2812
25 Pr 0.5000 0.9113 0.7812
26 Pr 0.5000 0.7971 0.0520

Total magnetization in Bohr magnetons per cell: 0.0
DOS at the Fermi energy in states/eV/f.u.: 19.1
Calculated formation energy in eV/atom: 0.09
SG: Pbam

Record 3
Here is a relaxed structure of LaPr5Y3 from Alexandria via LeMat-Bulk. Energies are from PBE.

abc: 6.5875 12.0587 11.4754
angles: 129.76 90.00 105.85
Fractional coordinates of all 18 atoms:
1 Pr 0.5327 0.6617 0.3713
2 Pr 0.5986 0.0000 0.2500
3 Pr 0.3452 0.3372 0.9728
4 Pr 0.4673 0.3383 0.6287
5 Pr 0.8709 0.3383 0.1287
6 Pr 0.4014 0.0000 0.7500
7 Pr 0.6548 0.6628 0.0272
8 Pr 0.9920 0.3372 0.4728
9 Pr 0.0080 0.6628 0.5272
10 Pr 0.1291 0.6617 0.8713
11 Y 0.8609 0.3215 0.8069
12 Y 0.5393 0.6785 0.6931
13 Y 0.1391 0.6785 0.1931
14 Y 0.0000 0.0000 0.0000
15 Y 0.0000 0.0000 0.5000
16 Y 0.4607 0.3215 0.3069
17 La 0.8609 0.0000 0.7500
18 La 0.1391 0.0000 0.2500

Total magnetization in Bohr magnetons per cell: 0.0
DOS at the Fermi energy in states/eV/f.u.: 14.0
Distance to the lowest polymorph of the same formula in meV per atom: 0
Calculated formation energy in eV/atom: 0.26
SG: C2/c

Record 4
Here is a relaxed structure of La6PrY from Alexandria via LeMat-Bulk. Energies are from PBE.

abc: 5.2361 5.2361 10.4770
angles: 90.00 90.00 90.00
Fractional coordinates of all 8 atoms:
1 La 0.0000 0.5000 0.2508
2 La 0.5000 0.5000 0.5000
3 La 0.5000 0.5000 0.0000
4 La 0.0000 0.5000 0.7492
5 La 0.5000 0.0000 0.7492
6 La 0.5000 0.0000 0.2508
7 Y 0.0000 0.0000 0.5000
8 Pr 0.0000 0.0000 0.0000

Total magnetization in Bohr magnetons per cell: 0.0
DOS at the Fermi energy in states/eV/f.u.: 12.6
Calculated formation energy in eV/atom: 0.01
SG: P4/mmm

Record 5
Here is a relaxed structure of La2Pr7Y3 from Alexandria via LeMat-Bulk. Energies are from PBE.

abc: 3.6213 6.5856 18.5028
angles: 74.97 90.00 90.00
Fractional coordinates of all 12 atoms:
1 Pr 0.5000 0.9401 0.8311
2 Pr 0.5000 0.0599 0.1689
3 Pr 0.5000 0.2378 0.5041
4 Pr 0.5000 0.7622 0.4959
5 Pr 0.0000 0.5577 0.1644
6 Pr 0.0000 0.0000 0.0000
7 Pr 0.0000 0.4423 0.8356
8 Y 0.0000 0.1152 0.3409
9 Y 0.0000 0.8848 0.6591
10 Y 0.5000 0.5000 0.0000
11 La 0.5000 0.3868 0.6693
12 La 0.5000 0.6132 0.3307

Total magnetization in Bohr magnetons per cell: 0.0
DOS at the Fermi energy in states/eV/f.u.: 19.5
Distance to the lowest polymorph of the same formula in meV per atom: 0
Calculated formation energy in eV/atom: 0.06
SG: P2/m

Record 6
Here is a relaxed structure of La3Pr8Y2 from Alexandria via LeMat-Bulk. Energies are from PBE.

abc: 5.8791 7.7952 11.1540
angles: 110.45 90.06 90.00
Fractional coordinates of all 13 atoms:
1 Pr 0.9985 0.1352 0.2704
2 Pr 0.0013 0.6759 0.3518
3 Pr 0.4998 0.3997 0.2165
4 Pr 0.4998 0.8168 0.2165
5 Pr 0.5002 0.6003 0.7835
6 Pr 0.9987 0.3241 0.6482
7 Pr 0.5002 0.1832 0.7835
8 Pr 0.0015 0.8648 0.7296
9 La 0.5000 0.0000 0.0000
10 La 0.0000 0.7090 0.0000
11 La 0.0000 0.2910 0.0000
12 Y 0.5021 0.7588 0.5176
13 Y 0.4979 0.2412 0.4824

Total magnetization in Bohr magnetons per cell: 0.0
DOS at the Fermi energy in states/eV/f.u.: 21.4
Distance to the lowest polymorph of the same formula in meV per atom: 67
Calculated formation energy in eV/atom: 0.20
SG: C2/m

Record 7
Here is a relaxed structure of La6Pr5Y from Alexandria via LeMat-Bulk. Energies are from PBE.

abc: 5.2741 11.6905 9.8273
angles: 53.46 74.35 63.18
Fractional coordinates of all 12 atoms:
1 Pr 0.5000 0.5000 0.0000
2 Pr 0.9998 0.6672 0.6658
3 Pr 0.0002 0.3328 0.3342
4 Pr 0.4999 0.8336 0.3327
5 Pr 0.5001 0.1664 0.6673
6 La 0.7516 0.0827 0.3321
7 La 0.2486 0.5850 0.3323
8 La 0.2511 0.2487 0.0001
9 La 0.7514 0.4150 0.6677
10 La 0.2484 0.9173 0.6679
11 La 0.7489 0.7513 0.9999
12 Y 0.0000 0.0000 0.0000

Total magnetization in Bohr magnetons per cell: 0.0
DOS at the Fermi energy in states/eV/f.u.: 20.3
Calculated formation energy in eV/atom: 0.01
SG: C2/m

Record 8
Here is a relaxed structure of LaPrY4 from Alexandria via LeMat-Bulk. Energies are from PBE.

abc: 3.6295 12.0156 10.2582
angles: 115.27 90.00 90.00
Fractional coordinates of all 12 atoms:
1 Y 0.0000 0.6681 0.8332
2 Y 0.0000 0.3319 0.1668
3 Y 0.4997 0.1680 0.8348
4 Y 0.4999 0.8318 0.6667
5 Y 0.0003 0.6680 0.3348
6 Y 0.5001 0.1682 0.3333
7 Y 0.5003 0.8320 0.1652
8 Y 0.9997 0.3320 0.6652
9 La 0.5000 0.5000 0.0000
10 La 0.0000 0.0000 0.5000
11 Pr 0.0000 0.0000 0.0000
12 Pr 0.5000 0.5000 0.5000

Total magnetization in Bohr magnetons per cell: 0.0
DOS at the Fermi energy in states/eV/f.u.: 8.8
Distance to the lowest polymorph of the same formula in meV per atom: 13
Calculated formation energy in eV/atom: 0.02
SG: C2/m